1.
# Rb2YTaF6 | Alexandria | GGA-PBE | relaxed
# magnetic moment	0.20	μB per atom
# total energy	-5.82	eV per atom
data_Rb2YTaF6
_symmetry_space_group_name_H-M 'I 4/m m m'
_symmetry_Int_Tables_number 139
_symmetry_space_group_name_Hall '-I 4 2'
_cell_length_a 6.0551
_cell_length_b 6.0551
_cell_length_c 12.4257
_cell_angle_alpha 90.00
_cell_angle_beta 90.00
_cell_angle_gamma 90.00
loop_
_atom_site_label
_atom_site_fract_x
_atom_site_fract_y
_atom_site_fract_z
Rb1 0.0000 0.5000 0.2500
Y1 0.0000 0.0000 0.0000
Ta1 0.0000 0.0000 0.5000
F1 0.0000 0.0000 0.1733
F2 0.2427 0.2427 0.5000

=====

2.
# Rb2ZrTaF6 | Alexandria | GGA-PBE | relaxed
# magnetic moment	0.48	μB per atom
# total energy	-5.61	eV per atom
data_Rb2ZrTaF6
_symmetry_space_group_name_H-M 'I 4/m m m'
_symmetry_Int_Tables_number 139
_symmetry_space_group_name_Hall '-I 4 2'
_cell_length_a 6.3288
_cell_length_b 6.3288
_cell_length_c 8.9678
_cell_angle_alpha 90.00
_cell_angle_beta 90.00
_cell_angle_gamma 90.00
loop_
_atom_site_label
_atom_site_fract_x
_atom_site_fract_y
_atom_site_fract_z
Rb1 0.0000 0.5000 0.2500
Zr1 0.0000 0.0000 0.0000
Ta1 0.0000 0.0000 0.5000
F1 0.0000 0.0000 0.2561
F2 0.2442 0.2442 0.5000

=====

3.
# Rb2Tb2F7 | Alexandria | GGA-PBE | relaxed
# magnetic moment	0.00	μB per atom
# total energy	-5.67	eV per atom
data_Rb2Tb2F7
_symmetry_space_group_name_H-M 'C m m m'
_symmetry_Int_Tables_number 65
_symmetry_space_group_name_Hall '-C 2 2'
_cell_length_a 7.6268
_cell_length_b 8.2814
_cell_length_c 6.9941
_cell_angle_alpha 90.00
_cell_angle_beta 90.00
_cell_angle_gamma 90.00
loop_
_atom_site_label
_atom_site_fract_x
_atom_site_fract_y
_atom_site_fract_z
Rb1 0.2390 0.0000 0.0000
Tb1 0.0000 0.2280 0.5000
F1 0.0000 0.0000 0.3183
F2 0.0000 0.5000 0.5000
F3 0.2500 0.2500 0.3149